Entry 1:
A plane-wave DFT calculation with PBE was carried out for crystalline SrCd3Cu at its relaxed geometry.

The structure in CIF format:
```
data_SrCd3Cu
_chemical_formula_sum 'Sr4 Cd12 Cu4'
_cell_length_a 6.565
_cell_length_b 11.929
_cell_length_c 6.436
_cell_angle_alpha 90.00
_cell_angle_beta 90.00
_cell_angle_gamma 90.00
_symmetry_space_group_name_H-M 'C m c m'
_symmetry_Int_Tables_number 63
_symmetry_space_group_name_Hall '-C 2c 2'
loop_
_atom_site_label
_atom_site_type_symbol
_atom_site_fract_x
_atom_site_fract_y
_atom_site_fract_z
Sr1 Sr 0.000 0.248 0.250
Cd1 Cd 0.000 0.147 0.750
Cd2 Cd 0.234 0.500 0.000
Cu1 Cu 0.000 0.366 0.750
```

Computed properties:
spin magnetization	0.00	μB per cell
volume	25.20	A^3/atom
energy above the most stable polymorph in this dataset	0.000	eV per atom
DOS at the Fermi energy	11.1	states/eV/cell
ΔH_f (0 K)	-0.878	eV per formula unit
crystal system	orthorhombic



Entry 2:
A plane-wave DFT calculation with PBE was carried out for crystalline Sr8Cd2Cu at its relaxed geometry.

The structure in CIF format:
```
data_Sr8Cd2Cu
_chemical_formula_sum 'Sr16 Cd4 Cu2'
_cell_length_a 20.629
_cell_length_b 4.477
_cell_length_c 10.617
_cell_angle_alpha 90.00
_cell_angle_beta 96.62
_cell_angle_gamma 90.00
_symmetry_space_group_name_H-M 'C 1 2/m 1'
_symmetry_Int_Tables_number 12
loop_
_symmetry_equiv_pos_as_xyz
'x,y,z'
'-x,-y,-z'
'-x,y,-z'
'x,-y,z'
'x+1/2,y+1/2,z'
'-x+1/2,-y+1/2,-z'
'-x+1/2,y+1/2,-z'
'x+1/2,-y+1/2,z'
loop_
_atom_site_label
_atom_site_type_symbol
_atom_site_fract_x
_atom_site_fract_y
_atom_site_fract_z
Sr1 Sr 0.007 0.000 0.201
Sr2 Sr 0.096 0.500 0.550
Sr3 Sr 0.155 0.500 0.997
Sr4 Sr 0.213 0.000 0.334
Cd1 Cd 0.177 0.000 0.758
Cu1 Cu 0.000 0.500 0.000
```

Computed properties:
spin magnetization	0.00	μB per cell
volume	44.27	A^3/atom
DOS at the Fermi energy	22.9	states/eV/cell
ΔH_f (0 K)	-1.089	eV per formula unit
crystal system	monoclinic



Entry 3:
A plane-wave DFT calculation with PBE was carried out for crystalline SrCdCu at its relaxed geometry.

The structure in CIF format:
```
data_SrCdCu
_chemical_formula_sum 'Sr4 Cd4 Cu4'
_cell_length_a 4.796
_cell_length_b 8.007
_cell_length_c 8.036
_cell_angle_alpha 90.00
_cell_angle_beta 90.00
_cell_angle_gamma 90.00
_symmetry_space_group_name_H-M 'I m m 2'
_symmetry_Int_Tables_number 44
loop_
_symmetry_equiv_pos_as_xyz
'x,y,z'
'-x,-y,z'
'-x,y,z'
'x,-y,z'
'x+1/2,y+1/2,z+1/2'
'-x+1/2,-y+1/2,z+1/2'
'-x+1/2,y+1/2,z+1/2'
'x+1/2,-y+1/2,z+1/2'
loop_
_atom_site_label
_atom_site_type_symbol
_atom_site_fract_x
_atom_site_fract_y
_atom_site_fract_z
Sr1 Sr 0.000 0.000 0.000
Sr2 Sr 0.000 0.500 0.090
Cd1 Cd 0.000 0.201 0.383
Cu1 Cu 0.000 0.329 0.713
```

Computed properties:
spin magnetization	0.00	μB per cell
volume	25.72	A^3/atom
DOS at the Fermi energy	5.3	states/eV/cell
ΔH_f (0 K)	-0.502	eV per formula unit
crystal system	orthorhombic



Entry 4:
A plane-wave DFT calculation with PBE was carried out for crystalline SrCdCu2 at its relaxed geometry.

The structure in CIF format:
```
data_SrCdCu2
_chemical_formula_sum 'Sr2 Cd2 Cu4'
_cell_length_a 6.752
_cell_length_b 6.757
_cell_length_c 3.892
_cell_angle_alpha 90.00
_cell_angle_beta 90.40
_cell_angle_gamma 90.00
_symmetry_space_group_name_H-M 'C 1 2/m 1'
_symmetry_Int_Tables_number 12
loop_
_symmetry_equiv_pos_as_xyz
'x,y,z'
'-x,-y,-z'
'-x,y,-z'
'x,-y,z'
'x+1/2,y+1/2,z'
'-x+1/2,-y+1/2,-z'
'-x+1/2,y+1/2,-z'
'x+1/2,-y+1/2,z'
loop_
_atom_site_label
_atom_site_type_symbol
_atom_site_fract_x
_atom_site_fract_y
_atom_site_fract_z
Sr1 Sr 0.000 0.000 0.000
Cd1 Cd 0.000 0.500 0.000
Cu1 Cu 0.250 0.250 0.500
```

Computed properties:
spin magnetization	0.00	μB per cell
volume	22.20	A^3/atom
DOS at the Fermi energy	3.5	states/eV/cell
ΔH_f (0 K)	0.630	eV per formula unit
crystal system	monoclinic



Entry 5:
A plane-wave DFT calculation with PBE was carried out for crystalline SrCdCu at its relaxed geometry.

The structure in CIF format:
```
data_SrCdCu
_chemical_formula_sum 'Sr4 Cd4 Cu4'
_cell_length_a 6.978
_cell_length_b 6.978
_cell_length_c 6.978
_cell_angle_alpha 90.00
_cell_angle_beta 90.00
_cell_angle_gamma 90.00
_symmetry_space_group_name_H-M 'F -4 3 m'
_symmetry_Int_Tables_number 216
_symmetry_space_group_name_Hall 'F -4 2 3'
loop_
_atom_site_label
_atom_site_type_symbol
_atom_site_fract_x
_atom_site_fract_y
_atom_site_fract_z
Sr1 Sr 0.000 0.000 0.000
Cd1 Cd 0.000 0.000 0.500
Cu1 Cu 0.250 0.250 0.250
```

Computed properties:
spin magnetization	0.00	μB per cell
volume	28.31	A^3/atom
DOS at the Fermi energy	9.0	states/eV/cell
ΔH_f (0 K)	-0.146	eV per formula unit
crystal system	cubic



Entry 6:
A plane-wave DFT calculation with PBE was carried out for crystalline Sr2Cd2Cu at its relaxed geometry.

The structure in CIF format:
```
data_Sr2Cd2Cu
_chemical_formula_sum 'Sr4 Cd4 Cu2'
_cell_length_a 4.078
_cell_length_b 4.078
_cell_length_c 19.178
_cell_angle_alpha 90.00
_cell_angle_beta 90.00
_cell_angle_gamma 90.00
_symmetry_space_group_name_H-M 'I 4/m m m'
_symmetry_Int_Tables_number 139
_symmetry_space_group_name_Hall '-I 4 2'
loop_
_atom_site_label
_atom_site_type_symbol
_atom_site_fract_x
_atom_site_fract_y
_atom_site_fract_z
Sr1 Sr 0.000 0.000 0.095
Cd1 Cd 0.000 0.500 0.250
Cu1 Cu 0.000 0.000 0.500
```

Computed properties:
spin magnetization	0.00	μB per cell
volume	31.89	A^3/atom
energy above the most stable polymorph in this dataset	0.206	eV per atom
DOS at the Fermi energy	9.6	states/eV/cell
ΔH_f (0 K)	-0.105	eV per formula unit
crystal system	tetragonal



Entry 7:
A plane-wave DFT calculation with PBE was carried out for crystalline Sr3CdCu at its relaxed geometry.

The structure in CIF format:
```
data_Sr3CdCu
_chemical_formula_sum 'Sr12 Cd4 Cu4'
_cell_length_a 18.209
_cell_length_b 4.350
_cell_length_c 9.309
_cell_angle_alpha 90.00
_cell_angle_beta 91.40
_cell_angle_gamma 90.00
_symmetry_space_group_name_H-M 'C 1 2/m 1'
_symmetry_Int_Tables_number 12
loop_
_symmetry_equiv_pos_as_xyz
'x,y,z'
'-x,-y,-z'
'-x,y,-z'
'x,-y,z'
'x+1/2,y+1/2,z'
'-x+1/2,-y+1/2,-z'
'-x+1/2,y+1/2,-z'
'x+1/2,-y+1/2,z'
loop_
_atom_site_label
_atom_site_type_symbol
_atom_site_fract_x
_atom_site_fract_y
_atom_site_fract_z
Sr1 Sr 0.049 0.000 0.309
Sr2 Sr 0.108 0.500 0.944
Sr3 Sr 0.246 0.000 0.697
Cd1 Cd 0.100 0.500 0.575
Cu1 Cu 0.223 0.000 0.044
```

Computed properties:
spin magnetization	0.00	μB per cell
volume	36.86	A^3/atom
energy above the most stable polymorph in this dataset	0.000	eV per atom
DOS at the Fermi energy	15.7	states/eV/cell
ΔH_f (0 K)	-0.787	eV per formula unit
crystal system	monoclinic



Entry 8:
A plane-wave DFT calculation with PBE was carried out for crystalline SrCdCu2 at its relaxed geometry.

The structure in CIF format:
```
data_SrCdCu2
_chemical_formula_sum 'Sr4 Cd4 Cu8'
_cell_length_a 4.822
_cell_length_b 4.822
_cell_length_c 18.253
_cell_angle_alpha 90.00
_cell_angle_beta 90.00
_cell_angle_gamma 90.00
_symmetry_space_group_name_H-M 'I 41/a m d'
_symmetry_Int_Tables_number 141
loop_
_symmetry_equiv_pos_as_xyz
'x,y,z'
'-x,-y,-z'
'-y+1/4,x+3/4,z+1/4'
'y+1/4,-x+3/4,-z+1/4'
'-x+1/2,-y,z+1/2'
'x+1/2,y,-z+1/2'
'y+1/4,-x+1/4,z+3/4'
'-y+1/4,x+1/4,-z+3/4'
'x,-y,-z'
'-x,y,z'
'-y+1/4,-x+1/4,-z+3/4'
'y+1/4,x+1/4,z+3/4'
'-x+1/2,y,-z+1/2'
'x+1/2,-y,z+1/2'
'y+1/4,x+3/4,-z+1/4'
'-y+1/4,-x+3/4,z+1/4'
'x+1/2,y+1/2,z+1/2'
'-x+1/2,-y+1/2,-z+1/2'
'-y+3/4,x+1/4,z+3/4'
'y+3/4,-x+1/4,-z+3/4'
'-x,-y+1/2,z'
'x,y+1/2,-z'
'y+3/4,-x+3/4,z+1/4'
'-y+3/4,x+3/4,-z+1/4'
'x+1/2,-y+1/2,-z+1/2'
'-x+1/2,y+1/2,z+1/2'
'-y+3/4,-x+3/4,-z+1/4'
'y+3/4,x+3/4,z+1/4'
'-x,y+1/2,-z'
'x,-y+1/2,z'
'y+3/4,x+1/4,-z+3/4'
'-y+3/4,-x+1/4,z+3/4'
loop_
_atom_site_label
_atom_site_type_symbol
_atom_site_fract_x
_atom_site_fract_y
_atom_site_fract_z
Sr1 Sr 0.000 0.250 0.375
Cd1 Cd 0.000 0.250 0.875
Cu1 Cu 0.000 0.000 0.000
```

Computed properties:
spin magnetization	0.00	μB per cell
volume	26.53	A^3/atom
DOS at the Fermi energy	7.7	states/eV/cell
ΔH_f (0 K)	0.235	eV per formula unit
crystal system	tetragonal



Entry 9:
A plane-wave DFT calculation with PBE was carried out for crystalline Sr2Cd2Cu15 at its relaxed geometry.

The structure in CIF format:
```
data_Sr2Cd2Cu15
_chemical_formula_sum 'Sr6 Cd6 Cu45'
_cell_length_a 8.9191
_cell_length_b 8.9191
_cell_length_c 12.8554
_cell_angle_alpha 90.00
_cell_angle_beta 90.00
_cell_angle_gamma 120.00
_symmetry_space_group_name_H-M 'R -3 m'
_symmetry_Int_Tables_number 166
_symmetry_space_group_name_Hall '-R 3 2"'
loop_
_atom_site_label
_atom_site_type_symbol
_atom_site_fract_x
_atom_site_fract_y
_atom_site_fract_z
Sr1 Sr 0.0000 0.0000 0.1487
Cd1 Cd 0.0000 0.0000 0.3949
Cu1 Cu 0.0000 0.2975 0.5000
Cu2 Cu 0.0000 0.5000 0.0000
Cu3 Cu 0.0009 0.5005 0.3435
```

Computed properties:
spin magnetization	0.00	μB per cell
volume	15.54	A^3/atom
DOS at the Fermi energy	19.7	states/eV/cell
ΔH_f (0 K)	-0.475	eV per formula unit
crystal system	trigonal



Entry 10:
A plane-wave DFT calculation with PBE was carried out for crystalline Sr2CdCu16 at its relaxed geometry.

The structure in CIF format:
```
data_Sr2CdCu16
_chemical_formula_sum 'Sr6 Cd3 Cu48'
_cell_length_a 8.8251
_cell_length_b 8.8251
_cell_length_c 12.7277
_cell_angle_alpha 90.00
_cell_angle_beta 90.00
_cell_angle_gamma 120.00
_symmetry_space_group_name_H-M 'R 3 m'
_symmetry_Int_Tables_number 160
_symmetry_space_group_name_Hall 'R 3 -2"'
loop_
_atom_site_label
_atom_site_type_symbol
_atom_site_fract_x
_atom_site_fract_y
_atom_site_fract_z
Sr1 Sr 0.0000 0.0000 0.0000
Sr2 Sr 0.0000 0.0000 0.3060
Cd1 Cd 0.0000 0.0000 0.5610
Cu1 Cu 0.0000 0.0000 0.7622
Cu2 Cu 0.0001 0.2941 0.6558
Cu3 Cu 0.0084 0.5042 0.4974
Cu4 Cu 0.1678 0.3356 0.1444
Cu5 Cu 0.1701 0.3402 0.4881
```

Computed properties:
spin magnetization	0.00	μB per cell
volume	15.06	A^3/atom
DOS at the Fermi energy	19.3	states/eV/cell
ΔH_f (0 K)	-0.625	eV per formula unit
crystal system	trigonal